(1)
Here is a geometry-optimized TaSb2W structure from the Alexandria database. Energies are from GGA-PBE.

The value obtained for the total energy is -63.9 eV for the cell shown. As for the density: 12.82 g/cm³.

The structure belongs to space group Cm (No. 8); the cell edges are 9.796, 3.344 and 5.065 Å and the angles 90.00°, 108.25° and 90.00°. The distinct sites, in fractional coordinates, are Ta at (0.000, 0.000, 0.000), Sb at (0.248, 0.000, 0.838), Sb at (0.472, 0.000, 0.484) and W at (0.225, 0.500, 0.333).

(2)
Here is a geometry-optimized NdCd2 structure from the Alexandria database. Energies are from GGA-PBE.

The value obtained for the total energy is -7.6 eV for the cell shown. As for the density: 7.87 g/cm³.

The structure belongs to space group P6/mmm (No. 191); the cell edges are 5.0911, 5.0911 and 3.4672 Å and the angles 90.00°, 90.00° and 120.00°. The distinct sites, in fractional coordinates, are Nd at (0.0000, 0.0000, 0.0000) and Cd at (0.3333, 0.6667, 0.5000).

(3)
Here is a geometry-optimized KScIn2 structure from the Alexandria database. Energies are from GGA-PBE.

The value obtained for the total energy is -26.0 eV for the cell shown. As for the density: 4.13 g/cm³.

The structure belongs to space group C2/m (No. 12); the cell edges are 9.822, 3.287 and 7.861 Å and the angles 90.00°, 96.09° and 90.00°. The distinct sites, in fractional coordinates, are K at (0.000, 0.000, 0.000), Sc at (0.000, 0.500, 0.500) and In at (0.242, 0.000, 0.683).

(4)
Here is a geometry-optimized HfZn2Fe9 structure from the Alexandria database. Energies are from GGA-PBE.

The value obtained for the total energy is -264.7 eV for the cell shown. As for the density: 8.69 g/cm³.

The structure belongs to space group R-3m (No. 166, hexagonal axes); the cell edges are 4.8089, 4.8089 and 23.2374 Å and the angles 90.00°, 90.00° and 120.00°. The distinct sites, in fractional coordinates, are Hf at (0.0000, 0.0000, 0.0000), Zn at (0.0000, 0.0000, 0.1420), Fe at (0.0000, 0.0000, 0.3346), Fe at (0.0000, 0.0000, 0.5000) and Fe at (0.0058, 0.5029, 0.9138).